Record 1
## BeFeSb2 (GGA-PBE)

Data for a relaxed structure of BeFeSb2.

a = 3.3606 Å, b = 3.3606 Å, c = 6.2663 Å
α = 90.00°, β = 90.00°, γ = 90.00°
Atoms (fractional coordinates):
Be: 0.0000 0.0000 0.0000
Fe: 0.0000 0.0000 0.5000
Sb: 0.5000 0.5000 0.2572
Sb: 0.5000 0.5000 0.7428

**Formation energy (no corrections)**: 0.543 eV/atom
**Calculated density**: 7.24 g cm⁻³

Record 2
## BeFe2Sb (GGA-PBE)

Data for a relaxed structure of BeFe2Sb.

a = 5.7807 Å, b = 5.7807 Å, c = 5.7807 Å
α = 90.00°, β = 90.00°, γ = 90.00°
Atoms (fractional coordinates):
Be: 0.0000 0.0000 0.0000
Be: 0.0000 0.5000 0.5000
Be: 0.5000 0.0000 0.5000
Be: 0.5000 0.5000 0.0000
Fe: 0.2500 0.2500 0.2500
Fe: 0.2500 0.2500 0.7500
Fe: 0.2500 0.7500 0.2500
Fe: 0.2500 0.7500 0.7500
Fe: 0.7500 0.2500 0.2500
Fe: 0.7500 0.2500 0.7500
Fe: 0.7500 0.7500 0.2500
Fe: 0.7500 0.7500 0.7500
Sb: 0.0000 0.0000 0.5000
Sb: 0.0000 0.5000 0.0000
Sb: 0.5000 0.0000 0.0000
Sb: 0.5000 0.5000 0.5000

**Formation energy (no corrections)**: 0.127 eV/atom
**Calculated density**: 8.34 g cm⁻³
**Energy above the lowest structure with this stoichiometry**: 0 meV per atom

Record 3
## BeFe2Sb (GGA-PBE)

Data for a relaxed structure of BeFe2Sb.

a = 5.9422 Å, b = 5.9422 Å, c = 5.9422 Å
α = 90.00°, β = 90.00°, γ = 90.00°
Atoms (fractional coordinates):
Be: 0.0000 0.0000 0.0000
Be: 0.0000 0.5000 0.5000
Be: 0.5000 0.0000 0.5000
Be: 0.5000 0.5000 0.0000
Fe: 0.0000 0.0000 0.5000
Fe: 0.0000 0.5000 0.0000
Fe: 0.2500 0.2500 0.2500
Fe: 0.2500 0.7500 0.7500
Fe: 0.5000 0.0000 0.0000
Fe: 0.5000 0.5000 0.5000
Fe: 0.7500 0.2500 0.7500
Fe: 0.7500 0.7500 0.2500
Sb: 0.2500 0.2500 0.7500
Sb: 0.2500 0.7500 0.2500
Sb: 0.7500 0.2500 0.2500
Sb: 0.7500 0.7500 0.7500

**Formation energy (no corrections)**: 0.278 eV/atom
**Calculated density**: 7.68 g cm⁻³
**Energy above the lowest structure with this stoichiometry**: 151 meV per atom

Record 4
## BeFeSb2 (GGA-PBE)

Data for a relaxed structure of BeFeSb2.

a = 5.6676 Å, b = 5.6676 Å, c = 11.5197 Å
α = 90.00°, β = 90.00°, γ = 90.00°
Atoms (fractional coordinates):
Be: 0.0000 0.0000 0.0000
Be: 0.0000 0.5000 0.2500
Be: 0.5000 0.0000 0.7500
Be: 0.5000 0.5000 0.5000
Fe: 0.0000 0.0000 0.5000
Fe: 0.0000 0.5000 0.7500
Fe: 0.5000 0.0000 0.2500
Fe: 0.5000 0.5000 0.0000
Sb: 0.2493 0.2500 0.6250
Sb: 0.2500 0.7493 0.8750
Sb: 0.2500 0.7507 0.3750
Sb: 0.2507 0.2500 0.1250
Sb: 0.7493 0.7500 0.1250
Sb: 0.7500 0.2493 0.3750
Sb: 0.7500 0.2507 0.8750
Sb: 0.7507 0.7500 0.6250

**Formation energy (no corrections)**: 0.535 eV/atom
**Calculated density**: 5.54 g cm⁻³